(1)
Density functional theory data (PBE-GGA) for crystalline CsB3Pd at its relaxed geometry.

Computed properties:
Calculated volume, Å³ per atom: 16.58
Polymorph energy (0 for the lowest one), meV per atom: 0
Final energy, eV per atom: -3.766
Calculated formation energy, eV per atom: 1.450
Total moment, μB per cell: 0.0
Density, g cm⁻³: 5.4

```
CsB3Pd
1.0
4.360 0.000 0.000
0.000 4.360 0.000
0.000 0.000 4.360
B Cs Pd
3 1 1
direct
0.500 0.000 0.000 B
0.000 0.500 0.000 B
0.000 0.000 0.500 B
0.500 0.500 0.500 Cs
0.000 0.000 0.000 Pd
```

---

(2)
Density functional theory data (PBE-GGA) for crystalline Ta2CuOs at its relaxed geometry.

Computed properties:
Calculated volume, Å³ per atom: 15.66
Final energy, eV per atom: -9.830
Calculated formation energy, eV per atom: -0.073
Total moment, μB per cell: 0.0
Density, g cm⁻³: 16.3

```
Ta2CuOs
1.0
-1.852 -1.523 3.299
3.575 -0.120 1.952
-0.585 3.494 1.285
Cu Ta Os
1 2 1
direct
0.500 0.000 0.500 Cu
0.000 0.000 0.000 Ta
0.500 0.500 0.000 Ta
0.000 0.500 0.500 Os
```

---

(3)
Density functional theory data (PBE-GGA) for crystalline TlCo2Si at its relaxed geometry.

Computed properties:
Calculated volume, Å³ per atom: 15.10
Polymorph energy (0 for the lowest one), meV per atom: 68
Final energy, eV per atom: -5.400
Total moment, μB per cell: 0.0
Density, g cm⁻³: 9.6
Energy relative to the elements, uncorrected, kJ per mole of atoms: 9.7

```
TlCo2Si
1.0
3.702 -0.006 0.002
1.858 3.202 0.002
1.845 1.061 5.091
Co Si Tl
2 1 1
direct
0.033 0.033 0.900 Co
0.467 0.467 0.600 Co
0.750 0.750 0.750 Si
0.250 0.250 0.250 Tl
```

---

(4)
Density functional theory data (PBE-GGA) for crystalline NdY2S at its relaxed geometry.

Computed properties:
Calculated volume, Å³ per atom: 28.76
Polymorph energy (0 for the lowest one), meV per atom: 0
Final energy, eV per atom: -6.418
Total moment, μB per cell: 0.6
Density, g cm⁻³: 5.1
Energy relative to the elements, uncorrected, kJ per mole of atoms: -92.9

```
NdY2S
1.0
-2.099 2.151 2.265
-3.736 0.116 -0.444
-2.876 -6.426 6.565
Y S Nd
2 1 1
direct
0.059 0.059 0.822 Y
0.274 0.274 0.178 Y
0.667 0.667 0.000 S
0.500 0.500 0.501 Nd
```